1.
This record from Alexandria via LeMat-Bulk describes a geometry-optimized Ba2Al5Zn structure. The functional is PBE.

Cell: 4.7432 9.1709 9.6501 Å, 90.00 90.00 104.99°
Atoms (fractional coordinates):
Ba 0.0000 0.0000 0.0000
Ba 0.0000 0.0000 0.5000
Ba 0.1996 0.3991 0.2500
Ba 0.8004 0.6009 0.7500
Al 0.6505 0.3009 0.0166
Al 0.1879 0.3758 0.8913
Al 0.3495 0.6991 0.9834
Al 0.6505 0.3009 0.4834
Al 0.3495 0.6991 0.5166
Al 0.5962 0.1924 0.7500
Al 0.8121 0.6242 0.1087
Al 0.1879 0.3758 0.6087
Al 0.8121 0.6242 0.3913
Al 0.4038 0.8076 0.2500
Zn 0.5570 0.1140 0.2500
Zn 0.4430 0.8860 0.7500

Calculated values
For the spin magnetization, the calculation gives 0.0 μB/f.u. The calculation puts the formation energy at -0.180 eV per atom. The symmetry is Cmcm, No. 63. For the total energy, the calculation gives -3.16 eV per atom.

2.
This record from Alexandria via LeMat-Bulk describes a geometry-optimized TaPtAu structure. The functional is PBE.

Cell: 4.3908 4.3908 4.3908 Å, 60.00 60.00 60.00°
Atoms (fractional coordinates):
Pt 0.7500 0.7500 0.7500
Au 0.5000 0.5000 0.5000
Ta 0.0000 0.0000 0.0000

Calculated values
For the spin magnetization, the calculation gives 0.0 μB/f.u. The calculation puts the formation energy at 0.019 eV per atom. The symmetry is F-43m, No. 216. For the total energy, the calculation gives -7.04 eV per atom.

3.
This record from Alexandria via LeMat-Bulk describes a geometry-optimized LuZn2 structure. The functional is PBE.

Cell: 4.4071 5.5674 5.5674 Å, 76.47 66.54 66.54°
Atoms (fractional coordinates):
Lu 0.5306 0.2191 0.7191
Lu 0.4694 0.7809 0.2809
Zn 0.8346 0.2082 0.1228
Zn 0.1654 0.3772 0.2918
Zn 0.1654 0.7918 0.8772
Zn 0.8346 0.6228 0.7082

Calculated values
For the spin magnetization, the calculation gives 0.0 μB/f.u. The calculation puts the formation energy at -0.376 eV per atom. The symmetry is C2/m, No. 12. For the total energy, the calculation gives -2.73 eV per atom.